Computed, not measured: an optimized crystal structure of NdSm12Er7 at the PBE level of DFT.

a b c (Å): 9.9382 9.9382 9.9382
angles (deg): 109.47 109.47 109.47
Closest atoms and distances in Å follow each position.
Sites, in units of the cell vectors:
Nd  0.0000  0.0000  0.0000  12 Sm 4.14
Sm  0.4898  0.7452  0.7445  2 Er 2.87
Sm  0.0007  0.7452  0.2555  2 Er 2.87
Sm  0.5102  0.2548  0.2555  2 Er 2.87
Sm  0.9993  0.2548  0.7445  2 Er 2.87
Sm  0.7445  0.9993  0.2548  2 Er 2.87
Sm  0.7445  0.4898  0.7452  2 Er 2.87
Sm  0.2555  0.0007  0.7452  2 Er 2.87
Sm  0.2555  0.5102  0.2548  2 Er 2.87
Sm  0.7452  0.7445  0.4898  2 Er 2.87
Sm  0.2548  0.2555  0.5102  2 Er 2.87
Sm  0.7452  0.2555  0.0007  2 Er 2.87
Sm  0.2548  0.7445  0.9993  2 Er 2.87
Er  0.5000  0.5000  0.0000  12 Sm 3.97-4.06
Er  0.0000  0.5000  0.5000  12 Sm 3.97-4.06
Er  0.5000  0.0000  0.5000  12 Sm 3.97-4.06
Er  0.5000  0.5000  0.5000  6 Sm 2.87
Er  0.0000  0.0000  0.5000  6 Sm 2.87
Er  0.5000  0.0000  0.0000  6 Sm 2.87
Er  0.0000  0.5000  0.0000  6 Sm 2.87

Properties
**ΔH_f (0 K)**: 0.687 eV per atom
**Size of the total moment**: 0.00 μB/cell
**Total DFT energy (no corrections)**: -79.6 eV per cell
**Relative energy among the computed polymorphs**: 524.0 meV/atom